1.
Density functional theory data (PBE-GGA) for a relaxed structure of CaMnPd2C.

The density of states at the Fermi level comes out at 5.33 states/eV/f.u. Its symmetry is P4/mmm, No. 123.

Lattice parameters (Å, degrees): 4.451 5.476 4.451 90.00 90.00 90.00
Site moments in Bohr magnetons follow the coordinates.
Fractional coordinates of all 5 atoms:
Ca  0.000  0.500  0.000  0.02
Mn  0.000  0.000  0.000  -0.09
C  0.500  0.500  0.500  0.74
Pd  0.000  0.000  0.500  -0.01
Pd  0.500  0.000  0.000  0.00


2.
Density functional theory data (PBE-GGA) for a relaxed structure of CaMnPt2C.

The density of states at the Fermi level comes out at 2.68 states/eV/f.u. Its symmetry is P4/mmm, No. 123.

Lattice parameters (Å, degrees): 4.947 5.448 4.947 90.00 90.00 90.00
Site moments in Bohr magnetons follow the coordinates.
Fractional coordinates of all 5 atoms:
Ca  0.000  0.000  0.000  -0.01
Mn  0.000  0.500  0.000  4.28
C  0.500  0.500  0.500  -0.72
Pt  0.000  0.000  0.500  0.00
Pt  0.500  0.000  0.000  0.01


3.
Density functional theory data (PBE-GGA) for a relaxed structure of CaMnRh2C.

The density of states at the Fermi level comes out at 3.37 states/eV/f.u. Its symmetry is P4/mmm, No. 123.

Lattice parameters (Å, degrees): 4.231 4.231 4.005 90.00 90.00 90.00
Site moments in Bohr magnetons follow the coordinates.
Fractional coordinates of all 5 atoms:
Ca  0.500  0.500  0.500  -0.02
Mn  0.000  0.000  0.500  2.87
Rh  0.000  0.500  0.000  0.13
Rh  0.500  0.000  0.000  0.13
C  0.000  0.000  0.000  -0.13


no.,spin magnetization (Bohr magnetons per cell),calculated formation energy (eV per atom)
1,1.42,1.751
2,3.22,2.605
3,3.03,-0.118